Below is a geometry-optimized ZrTcW2 structure, with properties calculated at the PBE level.

Properties
- magnetization (μB per formula unit) = 0.0
- total DFT energy (no corrections) (eV/atom) = -10.886
- polymorph energy (0 for the lowest one) (kJ/mol of atoms) = 38.76
- crystal system = trigonal
- SG = R-3m
- calculated formation energy (meV/atom) = 319

Cell and atoms, written as POSCAR:
```
ZrTcW2
1.0
1.459 0.843 9.357
-1.459 0.843 9.357
0.000 -1.685 9.357
Zr Tc W
1 1 2
Direct
0.000 0.000 0.000
0.500 0.500 0.500
0.243 0.243 0.243
0.757 0.757 0.757
```